# 1
The following is a DFT calculation (PBE) of crystalline K3Rb12Na at its relaxed geometry.

Structure (CIF):
```
data_K3Rb12Na
_symmetry_space_group_name_H-M 'P 4/m m m'
_symmetry_Int_Tables_number 123
_symmetry_space_group_name_Hall '-P 4 2'
_cell_length_a 6.9769
_cell_length_b 6.9769
_cell_length_c 27.3657
_cell_angle_alpha 90.00
_cell_angle_beta 90.00
_cell_angle_gamma 90.00
loop_
_atom_site_label
_atom_site_fract_x
_atom_site_fract_y
_atom_site_fract_z
K1 0.0000 0.0000 0.0000
K2 0.0000 0.0000 0.2570
Rb1 0.0000 0.5000 0.1288
Rb2 0.0000 0.5000 0.3861
Rb3 0.5000 0.5000 0.0000
Rb4 0.5000 0.5000 0.2576
Rb5 0.5000 0.5000 0.5000
Na1 0.0000 0.0000 0.5000
```

* E: -1.00 eV/atom
* density: 1.45 g/cm3
* ΔH_f (0 K): 1 kJ per mole of atoms
* total moment: 0.0 μB per formula unit

# 2
The following is a DFT calculation (PBE) of crystalline V2Ni4Pt at its relaxed geometry.

Structure (CIF):
```
data_V2Ni4Pt
_symmetry_space_group_name_H-M 'I 4/m m m'
_symmetry_Int_Tables_number 139
_symmetry_space_group_name_Hall '-I 4 2'
_cell_length_a 4.5848
_cell_length_b 4.5848
_cell_length_c 11.3880
_cell_angle_alpha 90.00
_cell_angle_beta 90.00
_cell_angle_gamma 90.00
loop_
_atom_site_label
_atom_site_fract_x
_atom_site_fract_y
_atom_site_fract_z
V1 0.0000 0.0000 0.0935
Ni1 0.0000 0.0000 0.2851
Ni2 0.0000 0.5000 0.0000
Pt1 0.0000 0.0000 0.5000
```

* energy relative to the lowest polymorph listed for this composition: 1.169 eV/atom
* E: -5.79 eV/atom
* density: 7.38 g/cm3
* ΔH_f (0 K): 95 kJ per mole of atoms
* total moment: 0.0 μB per formula unit